The following is a DFT calculation (GGA-PBE) of a relaxed BeCdTc3 crystal.

Calculated values
formation energy: 14.3 eV per formula unit
N(E_F): 4.58 states/eV/cell
ΔE to the lowest computed polymorph: 2.1361 eV/atom

Structure (CIF):
```
data_BeCdTc3
_cell_length_a 4.847
_cell_length_b 4.847
_cell_length_c 4.847
_cell_angle_alpha 90.00
_cell_angle_beta 90.00
_cell_angle_gamma 90.00
_symmetry_space_group_name_H-M 'P m -3 m'
_symmetry_Int_Tables_number 221
_symmetry_space_group_name_Hall '-P 4 2 3'
loop_
_atom_site_label
_atom_site_type_symbol
_atom_site_fract_x
_atom_site_fract_y
_atom_site_fract_z
Be1 Be 0.000 0.000 0.000
Cd1 Cd 0.500 0.500 0.500
Tc1 Tc 0.000 0.500 0.500
```

The following is a DFT calculation (GGA-PBE) of a relaxed BeCd2Tc crystal.

Calculated values
formation energy: 1.3 eV per formula unit
N(E_F): 4.65 states/eV/cell

Structure (CIF):
```
data_BeCd2Tc
_cell_length_a 3.301
_cell_length_b 4.517
_cell_length_c 8.844
_cell_angle_alpha 90.00
_cell_angle_beta 90.00
_cell_angle_gamma 90.00
_symmetry_space_group_name_H-M 'C m m 2'
_symmetry_Int_Tables_number 35
_symmetry_space_group_name_Hall 'C 2 -2'
loop_
_atom_site_label
_atom_site_type_symbol
_atom_site_fract_x
_atom_site_fract_y
_atom_site_fract_z
Be1 Be 0.000 0.000 0.000
Cd1 Cd 0.000 0.000 0.553
Cd2 Cd 0.000 0.500 0.238
Tc1 Tc 0.000 0.500 0.820
```

The following is a DFT calculation (GGA-PBE) of a relaxed BeCd2Tc crystal.

Calculated values
formation energy: 1.6 eV per formula unit
N(E_F): 2.00 states/eV/cell

Structure (CIF):
```
data_BeCd2Tc
_cell_length_a 3.923
_cell_length_b 3.923
_cell_length_c 4.184
_cell_angle_alpha 90.00
_cell_angle_beta 90.00
_cell_angle_gamma 90.00
_symmetry_space_group_name_H-M 'P 4/m m m'
_symmetry_Int_Tables_number 123
_symmetry_space_group_name_Hall '-P 4 2'
loop_
_atom_site_label
_atom_site_type_symbol
_atom_site_fract_x
_atom_site_fract_y
_atom_site_fract_z
Be1 Be 0.000 0.000 0.000
Cd1 Cd 0.000 0.500 0.500
Tc1 Tc 0.500 0.500 0.000
```